Record 1
Density functional theory data (GGA-PBE) for an optimized crystal structure of CdS2O5.

Summary:
The calculation puts the calculated total energy at -5.350 eV/atom. The value obtained for the calculated volume is 13.96 A^3/atom. The mass density comes out at 3.8 g/cm³.

abc: 6.8391 6.8391 5.8866
angles: 106.72 106.72 110.20
Fractional positions:
Cd 0.5914 0.4086 0.7500
Cd 0.4086 0.5914 0.2500
O 0.0717 0.5388 0.2767
O 0.6054 0.7396 0.6976
O 0.5388 0.0717 0.7767
O 0.2604 0.3946 0.8024
O 0.7396 0.6054 0.1976
O 0.3946 0.2604 0.3024
O 0.4612 0.9283 0.2233
O 0.9283 0.4612 0.7233
O 0.0876 0.9124 0.2500
O 0.9124 0.0876 0.7500
S 0.9978 0.7161 0.3722
S 0.0022 0.2839 0.6278
S 0.7161 0.9978 0.8722
S 0.2839 0.0022 0.1278

=====

Record 2
Density functional theory data (GGA-PBE) for an optimized crystal structure of Cd2SO.

Summary:
The calculation puts the calculated total energy at -3.481 eV/atom. The value obtained for the calculated volume is 19.27 A^3/atom. The calculation puts the energy relative to the lowest polymorph listed for this composition at 0 meV per atom. The mass density comes out at 5.9 g/cm³.

abc: 7.1079 7.1079 6.0997
angles: 90.00 90.00 149.98
Fractional positions:
O 0.0805 0.9195 0.0300
O 0.9195 0.0805 0.5300
S 0.6808 0.3192 0.5242
S 0.3192 0.6808 0.0242
Cd 0.9360 0.0640 0.8911
Cd 0.0640 0.9360 0.3912
Cd 0.6716 0.3284 0.9472
Cd 0.3284 0.6716 0.4472

=====

Record 3
Density functional theory data (GGA-PBE) for an optimized crystal structure of Cd2SO.

Summary:
The calculation puts the calculated total energy at -3.450 eV/atom. The value obtained for the calculated volume is 18.78 A^3/atom. The calculation puts the energy relative to the lowest polymorph listed for this composition at 31 meV per atom. The mass density comes out at 6.0 g/cm³.

abc: 3.7642 3.7643 12.2420
angles: 90.00 90.00 120.00
Fractional positions:
Cd 0.3333 0.6667 0.2606
Cd 0.0000 0.0000 0.4977
Cd 0.0000 0.0000 0.9977
Cd 0.6667 0.3334 0.7606
O 0.0000 0.0000 0.3228
O 0.0000 0.0000 0.8228
S 0.3333 0.6666 0.6065
S 0.6667 0.3334 0.1065